Compound: Al2Mo3O12
Source: Alexandria
Functional: SCAN
Structure: PBEsol geometry

Lattice parameters (Å, degrees): 12.5939 9.0484 9.1421 90.00 90.00 90.00
With the nearest neighbours (Å) after each atom.
Space group Pbcn (No. 60)
Inequivalent atoms, fractional coordinates:
1 Al 0.1189 0.2498 0.0347 (multiplicity 8)  6 O 1.87-1.91
2 Mo 0.0000 0.0253 0.7500 (multiplicity 4)  4 O 1.75-1.76
3 Mo 0.1448 0.3957 0.3817 (multiplicity 8)  4 O 1.75-1.76
4 O 0.0217 0.3178 0.4275 (multiplicity 8)  1 Mo 1.75, 1 Al 1.91
5 O 0.0650 0.1366 0.8790 (multiplicity 8)  1 Mo 1.75, 1 Al 1.88
6 O 0.0944 0.0879 0.1627 (multiplicity 8)  1 Mo 1.76, 1 Al 1.90
7 O 0.1397 0.4122 0.9095 (multiplicity 8)  1 Mo 1.76, 1 Al 1.88
8 O 0.1692 0.3613 0.1951 (multiplicity 8)  1 Mo 1.76, 1 Al 1.89
9 O 0.2443 0.3177 0.4921 (multiplicity 8)  1 Mo 1.76, 1 Al 1.87

=====

Compound: AlMo3O
Source: Alexandria
Functional: SCAN
Structure: PBEsol geometry

Lattice parameters (Å, degrees): 4.0696 4.0696 4.0696 90.00 90.00 90.00
With the nearest neighbours (Å) after each atom.
Space group Pm-3m (No. 221)
Inequivalent atoms, fractional coordinates:
1 Al 0.0000 0.0000 0.0000 (multiplicity 1)  12 Mo 2.88
2 Mo 0.0000 0.5000 0.5000 (multiplicity 3)  2 O 2.03
3 O 0.5000 0.5000 0.5000 (multiplicity 1)  6 Mo 2.03

=====

Compound: AlMoO2
Source: Alexandria
Functional: SCAN
Structure: PBEsol geometry

Lattice parameters (Å, degrees): 2.7695 2.7695 19.6164 90.00 90.00 120.00
With the nearest neighbours (Å) after each atom.
Space group R-3m (No. 166, hexagonal axes)
Inequivalent atoms, fractional coordinates:
1 Al 0.0000 0.0000 0.0000 (multiplicity 3)  2 O 1.90
2 Mo 0.0000 0.0000 0.5000 (multiplicity 3)  6 O 2.10
3 O 0.0000 0.0000 0.0971 (multiplicity 6)  1 Al 1.90, 3 Mo 2.10

=====

no.,magnetic moment (Bohr magnetons per cell),raw formation energy (meV/atom)
1,0.000,-2487
2,0.000,-347
3,0.000,-1662